A relaxed BaTe2Se crystal. Source: Alexandria via LeMat-Bulk, functional PBE-GGA.

## Properties
Symmetry: No. 122
Total DFT energy (no corrections): -3.49 eV/atom
Crystal system: tetragonal

a = 6.5393 Å, b = 6.5393 Å, c = 9.6992 Å
α = 70.30°, β = 70.30°, γ = 90.00°
Closest atoms and distances in Å follow each position.
Fractional positions:
1 Te 0.5295 0.1250 0.2500  2 Se 2.87
2 Te 0.8750 0.7795 0.7500  2 Se 2.87
3 Te 0.3750 0.4705 0.7500  2 Se 2.87
4 Te 0.2205 0.6250 0.2500  2 Se 2.87
5 Ba 0.7500 0.2500 0.5000  4 Te 3.51
6 Ba 0.0000 0.0000 0.0000  4 Te 3.51
7 Se 0.5000 0.5000 0.0000  4 Te 2.87
8 Se 0.2500 0.7500 0.5000  4 Te 2.87